TmZrRuAu: optimized geometry, PBE.

The space group is F-43m (No. 216) and the conventional cell measures 6.816, 6.816 and 6.816 Å, with angles of 90.00, 90.00 and 90.00 degrees. The distinct sites, in fractional coordinates, are Tm at (0.000, 0.000, 0.000), Zr at (0.000, 0.000, 0.500), Ru at (0.250, 0.250, 0.750) and Au at (0.250, 0.250, 0.250).

For the formation energy from the elements, the calculation gives -12.1 kcal/mol of atoms.